Below is a geometry-optimized Pm3Nd2Ho7 structure, with properties calculated at the PBE level.

```
Pm3Nd2Ho7
1.0
6.366 0.000 0.000
0.000 3.537 0.000
-1.912 0.000 17.478
Pm Nd Ho
3 2 7
Direct
0.000 0.000 0.000 Pm
0.046 0.500 0.659 Pm
0.954 0.500 0.341 Pm
0.444 0.000 0.326 Nd
0.556 0.000 0.674 Nd
0.227 0.500 0.163 Ho
0.245 0.000 0.500 Ho
0.274 0.000 0.835 Ho
0.500 0.500 0.000 Ho
0.726 0.000 0.165 Ho
0.755 0.000 0.500 Ho
0.773 0.500 0.837 Ho
```

Output
Energy (eV per atom): -4.568
V (Å³/cell): 393.5
Total moment (μB/f.u.): 0.00